Here is an optimized crystal structure of V2GeBiO8 from the Alexandria database. Energies are from GGA+U.

Lattice parameters (Å, degrees): 5.611 5.611 6.346 90.00 90.00 120.00
Sites, in units of the cell vectors:
Ge  0.000  0.000  0.500
O  0.695  0.848  0.689
O  0.667  0.333  0.980
O  0.848  0.153  0.311
O  0.305  0.152  0.311
O  0.152  0.847  0.689
O  0.847  0.695  0.311
O  0.333  0.667  0.020
O  0.153  0.305  0.689
V  0.667  0.333  0.242
V  0.333  0.667  0.758
Bi  0.000  0.000  0.000

Summary:
As for the space group: P-3m1, No. 164.

Here is an optimized crystal structure of VGeBiO6 from the Alexandria database. Energies are from GGA+U.

Lattice parameters (Å, degrees): 4.807 4.807 9.360 90.00 90.00 90.00
Sites, in units of the cell vectors:
O  0.833  0.167  0.167
O  0.205  0.795  0.865
O  0.207  0.793  0.474
O  0.667  0.667  0.667
O  0.793  0.207  0.474
O  0.705  0.705  0.365
O  0.707  0.707  0.974
O  0.795  0.205  0.865
O  0.293  0.293  0.974
O  0.333  0.333  0.667
O  0.295  0.295  0.365
O  0.167  0.833  0.167
V  0.500  0.500  0.494
V  0.000  0.000  0.994
Bi  0.000  0.000  0.661
Bi  0.500  0.500  0.161
Ge  0.000  0.000  0.332
Ge  0.500  0.500  0.832

Summary:
As for the space group: P4_2nm, No. 102.

Summary of E_tot in eV per atom
-6.789 -6.540
(order as listed above)